# TaSnP2Cl

A relaxed TaSnP2Cl crystal (PBE-GGA, Alexandria via LeMat-Bulk).

The structure in extended XYZ format:
```
5
Lattice="4.907 0.000 0.000 0.000 4.907 0.000 0.000 0.000 4.798" Properties=species:S:1:pos:R:3 pbc="T T T"
Ta 0.000 0.000 0.000
Sn 2.453 2.453 2.399
P 0.000 2.453 0.000
P 2.453 0.000 0.000
Cl 0.000 0.000 2.399
```

Computed properties:
The density of states at the Fermi level is 2.004 states/eV/cell. As for the space group: P4/mmm (123). As for the total DFT energy (no corrections): -28.5 eV per cell. As for the magnetic moment: 0.00 μB/f.u. The polymorph energy (0 for the lowest one) is 0.000 eV per atom.